# IrO2

A geometry-optimized IrO2 structure (PBE, the Alexandria database).

Cell: 3.190 4.549 4.541 Å, 90.00 90.00 90.00°
Positions (direct):
Ir 0.000 0.000 0.000
Ir 0.500 0.500 0.500
O 0.000 0.309 0.308
O 0.000 0.691 0.692
O 0.500 0.191 0.808
O 0.500 0.809 0.192



# IrO

A geometry-optimized IrO structure (PBE, the Alexandria database).

Cell: 3.912 4.404 8.711 Å, 90.00 90.00 90.00°
Positions (direct):
Ir 0.000 0.679 0.808
Ir 0.500 0.321 0.692
Ir 0.500 0.321 0.308
Ir 0.000 0.679 0.192
Ir 0.000 0.697 0.500
Ir 0.500 0.303 0.000
O 0.000 0.027 0.655
O 0.500 0.973 0.845
O 0.500 0.973 0.155
O 0.000 0.027 0.345
O 0.000 0.400 0.000
O 0.500 0.600 0.500



# IrO

A geometry-optimized IrO structure (PBE, the Alexandria database).

Cell: 2.790 13.231 10.276 Å, 90.00 90.00 90.00°
Positions (direct):
Ir 0.000 0.126 0.000
Ir 0.000 0.874 0.000
Ir 0.250 0.624 0.250
Ir 0.250 0.876 0.250
Ir 0.000 0.626 0.500
Ir 0.000 0.374 0.500
Ir 0.250 0.124 0.750
Ir 0.250 0.376 0.750
Ir 0.500 0.126 0.500
Ir 0.500 0.874 0.500
Ir 0.750 0.624 0.750
Ir 0.750 0.876 0.750
Ir 0.500 0.626 0.000
Ir 0.500 0.374 0.000
Ir 0.750 0.124 0.250
Ir 0.750 0.376 0.250
O 0.000 0.000 0.877
O 0.000 0.000 0.123
O 0.250 0.750 0.373
O 0.250 0.750 0.127
O 0.000 0.500 0.377
O 0.000 0.500 0.623
O 0.250 0.250 0.873
O 0.250 0.250 0.627
O 0.500 0.000 0.377
O 0.500 0.000 0.623
O 0.750 0.750 0.873
O 0.750 0.750 0.627
O 0.500 0.500 0.877
O 0.500 0.500 0.123
O 0.750 0.250 0.373
O 0.750 0.250 0.127



# IrO2

A geometry-optimized IrO2 structure (PBE, the Alexandria database).

Cell: 4.935 4.935 4.935 Å, 90.00 90.00 90.00°
Positions (direct):
Ir 0.000 0.500 0.500
Ir 0.500 0.500 0.000
Ir 0.500 0.000 0.500
Ir 0.000 0.000 0.000
O 0.349 0.151 0.849
O 0.151 0.849 0.349
O 0.849 0.349 0.151
O 0.651 0.651 0.651
O 0.349 0.349 0.349
O 0.151 0.651 0.849
O 0.849 0.151 0.651
O 0.651 0.849 0.151



# IrO

A geometry-optimized IrO structure (PBE, the Alexandria database).

Cell: 9.505 3.693 4.832 Å, 90.00 90.00 90.00°
Positions (direct):
Ir 0.735 0.112 0.445
Ir 0.765 0.888 0.945
Ir 0.265 0.112 0.445
Ir 0.235 0.888 0.945
Ir 0.000 0.009 0.270
Ir 0.500 0.991 0.770
O 0.802 0.384 0.782
O 0.698 0.616 0.282
O 0.198 0.384 0.782
O 0.302 0.616 0.282
O 0.000 0.509 0.278
O 0.500 0.491 0.778



# IrO

A geometry-optimized IrO structure (PBE, the Alexandria database).

Cell: 10.761 10.761 2.718 Å, 90.00 90.00 90.00°
Positions (direct):
Ir 0.846 0.254 0.500
Ir 0.154 0.746 0.500
Ir 0.746 0.846 0.500
Ir 0.254 0.154 0.500
Ir 0.928 0.711 0.000
Ir 0.072 0.289 0.000
Ir 0.289 0.928 0.000
Ir 0.711 0.072 0.000
O 0.797 0.669 0.500
O 0.203 0.331 0.500
O 0.331 0.797 0.500
O 0.669 0.203 0.500
O 0.909 0.378 0.000
O 0.091 0.622 0.000
O 0.622 0.909 0.000
O 0.378 0.091 0.000



# IrO

A geometry-optimized IrO structure (PBE, the Alexandria database).

Cell: 5.906 5.906 5.906 Å, 90.00 90.00 90.00°
Positions (direct):
Ir 0.250 0.500 0.000
Ir 0.750 0.500 0.000
Ir 0.500 0.000 0.250
Ir 0.500 0.000 0.750
Ir 0.000 0.250 0.500
Ir 0.000 0.750 0.500
O 0.250 0.000 0.500
O 0.750 0.000 0.500
O 0.000 0.500 0.250
O 0.000 0.500 0.750
O 0.500 0.250 0.000
O 0.500 0.750 0.000



# IrO

A geometry-optimized IrO structure (PBE, the Alexandria database).

Cell: 6.532 6.532 2.733 Å, 90.00 90.00 90.00°
Positions (direct):
Ir 0.368 0.368 0.000
Ir 0.868 0.132 0.500
Ir 0.132 0.868 0.500
Ir 0.632 0.632 0.000
O 0.302 0.698 0.000
O 0.802 0.802 0.500
O 0.198 0.198 0.500
O 0.698 0.302 0.000



# IrO

A geometry-optimized IrO structure (PBE, the Alexandria database).

Cell: 7.205 7.205 7.205 Å, 90.00 90.00 90.00°
Positions (direct):
Ir 0.377 0.377 0.377
Ir 0.377 0.623 0.623
Ir 0.623 0.377 0.623
Ir 0.623 0.623 0.377
Ir 0.877 0.877 0.877
Ir 0.877 0.123 0.123
Ir 0.123 0.877 0.123
Ir 0.123 0.123 0.877
O 0.234 0.234 0.234
O 0.234 0.766 0.766
O 0.766 0.234 0.766
O 0.766 0.766 0.234
O 0.734 0.734 0.734
O 0.734 0.266 0.266
O 0.266 0.734 0.266
O 0.266 0.266 0.734



# IrOsO3

A geometry-optimized IrOsO3 structure (PBE, the Alexandria database).

Cell: 3.874 3.874 3.874 Å, 90.00 90.00 90.00°
Positions (direct):
Ir 0.500 0.500 0.500
Os 0.000 0.000 0.000
O 0.000 0.500 0.000
O 0.000 0.000 0.500
O 0.500 0.000 0.000



# Ir2OsO

A geometry-optimized Ir2OsO structure (PBE, the Alexandria database).

Cell: 5.838 5.838 5.505 Å, 57.98 57.98 90.00°
Positions (direct):
Ir 0.584 0.125 0.250
Ir 0.166 0.625 0.250
Ir 0.375 0.416 0.750
Ir 0.875 0.834 0.750
Os 0.000 0.000 0.000
Os 0.750 0.250 0.500
O 0.500 0.500 0.000
O 0.250 0.750 0.500



# Ir3OsO

A geometry-optimized Ir3OsO structure (PBE, the Alexandria database).

Cell: 4.740 4.740 4.740 Å, 90.00 90.00 90.00°
Positions (direct):
Ir 0.000 0.500 0.000
Ir 0.000 0.000 0.500
Ir 0.500 0.000 0.000
Os 0.000 0.000 0.000
O 0.500 0.500 0.500

Values from the calculation:
Distance to the lowest polymorph of the same formula: 1301 meV per atom



# IrOsO6

A geometry-optimized IrOsO6 structure (PBE, the Alexandria database).

Cell: 4.958 4.958 5.215 Å, 61.61 61.62 60.00°
Positions (direct):
Ir 0.000 0.000 0.000
Os 0.500 0.500 0.500
O 0.120 0.387 0.745
O 0.747 0.120 0.746
O 0.613 0.253 0.255
O 0.253 0.880 0.254
O 0.880 0.613 0.255
O 0.387 0.747 0.745



# IrOsO3

A geometry-optimized IrOsO3 structure (PBE, the Alexandria database).

Cell: 3.914 3.914 3.914 Å, 90.00 90.00 90.00°
Positions (direct):
Ir 0.000 0.000 0.000
Os 0.500 0.500 0.500
O 0.000 0.500 0.000
O 0.000 0.000 0.500
O 0.500 0.000 0.000



# IrOs2O

A geometry-optimized IrOs2O structure (PBE, the Alexandria database).

Cell: 4.394 4.394 7.226 Å, 72.30 72.30 90.00°
Positions (direct):
Ir 0.000 0.000 0.000
Ir 0.750 0.250 0.500
Os 0.520 0.125 0.250
Os 0.230 0.625 0.250
Os 0.375 0.480 0.750
Os 0.875 0.770 0.750
O 0.500 0.500 0.000
O 0.250 0.750 0.500



# IrOsO4

A geometry-optimized IrOsO4 structure (PBE, the Alexandria database).

Cell: 5.553 5.553 5.553 Å, 109.37 109.37 109.68°
Positions (direct):
Ir 0.750 0.750 0.000
Ir 0.500 0.000 0.500
Os 0.250 0.250 0.000
Os 0.000 0.500 0.500
O 0.247 0.941 0.694
O 0.753 0.443 0.690
O 0.691 0.497 0.194
O 0.193 0.003 0.190
O 0.303 0.497 0.806
O 0.813 0.003 0.810
O 0.753 0.063 0.310
O 0.247 0.553 0.306



# Ir3OsO

A geometry-optimized Ir3OsO structure (PBE, the Alexandria database).

Cell: 4.108 4.108 4.108 Å, 90.00 90.00 90.00°
Positions (direct):
Ir 0.000 0.500 0.000
Ir 0.000 0.000 0.500
Ir 0.500 0.000 0.000
Os 0.500 0.500 0.500
O 0.000 0.000 0.000

Values from the calculation:
Distance to the lowest polymorph of the same formula: 0 meV per atom



# PIrOsO2

A geometry-optimized PIrOsO2 structure (PBE, the Alexandria database).

Cell: 3.634 3.634 6.181 Å, 90.00 90.00 90.00°
Positions (direct):
P 0.000 0.000 0.500
Ir 0.000 0.000 0.000
Os 0.500 0.500 0.500
O 0.000 0.500 0.000
O 0.500 0.000 0.000

Values from the calculation:
Distance to the lowest polymorph of the same formula: 440 meV per atom



# PIrOsO2

A geometry-optimized PIrOsO2 structure (PBE, the Alexandria database).

Cell: 3.620 3.620 5.901 Å, 90.00 90.00 90.00°
Positions (direct):
P 0.000 0.000 0.500
Ir 0.500 0.500 0.500
Os 0.000 0.000 0.000
O 0.000 0.500 0.000
O 0.500 0.000 0.000

Values from the calculation:
Distance to the lowest polymorph of the same formula: 0 meV per atom



# IrOs2PbO8

A geometry-optimized IrOs2PbO8 structure (PBE, the Alexandria database).

Cell: 4.955 4.955 7.784 Å, 96.40 96.40 75.98°
Positions (direct):
Ir 0.000 0.000 0.000
Os 0.636 0.636 0.219
Os 0.364 0.364 0.781
Pb 0.000 0.000 0.500
O 0.726 0.148 0.799
O 0.758 0.758 0.037
O 0.666 0.666 0.453
O 0.334 0.334 0.547
O 0.242 0.242 0.963
O 0.148 0.726 0.799
O 0.852 0.274 0.201
O 0.274 0.852 0.201



# IrOsPbO6

A geometry-optimized IrOsPbO6 structure (PBE, the Alexandria database).

Cell: 7.042 7.242 7.179 Å, 120.29 119.37 90.00°
Positions (direct):
Ir 0.500 0.000 0.500
Ir 0.000 0.000 0.500
Os 0.500 0.500 0.000
Os 0.500 0.000 0.000
Pb 0.935 0.685 0.870
Pb 0.065 0.315 0.130
O 0.450 0.700 0.900
O 0.837 0.087 0.673
O 0.824 0.079 0.249
O 0.425 0.670 0.249
O 0.425 0.079 0.249
O 0.824 0.670 0.249
O 0.550 0.300 0.100
O 0.163 0.913 0.327
O 0.176 0.921 0.751
O 0.575 0.330 0.751
O 0.575 0.921 0.751
O 0.176 0.330 0.751



no.,electronic total energy (eV per atom)
1,-7.04
2,-6.81
3,-6.44
4,-6.94
5,-6.95
6,-6.85
7,-5.91
8,-6.50
9,-6.24
10,-6.55
11,-7.73
12,-6.19
13,-6.95
14,-6.18
15,-8.29
16,-7.51
17,-7.49
18,-6.61
19,-7.05
20,-6.96
21,-6.81